Computed, not measured: an optimized crystal structure of NdHo4Tm at the PBE level of DFT. Values from VASP.

```
&SYSTEM
  ibrav = 0, nat = 6, ntyp = 3
/
ATOMIC_SPECIES
Nd 144.24 Nd.upf
Ho 164.93 Ho.upf
Tm 168.93 Tm.upf
CELL_PARAMETERS angstrom
0.000 4.635 4.635
4.635 0.000 4.635
4.635 4.635 0.000
ATOMIC_POSITIONS angstrom
Nd 0.000 0.000 0.000
Ho 3.478 3.478 3.478
Ho 5.792 5.792 3.478
Ho 5.792 3.478 5.792
Ho 3.478 5.792 5.792
Tm 6.952 6.952 6.952
```

Calculated values
Formation enthalpy at 0 K, eV per formula unit: 1.6
Total magnetic moment, μB/f.u.: 0.6
E, eV/atom: -4.319
Space group: F-43m, No. 216
Energy above the most stable polymorph in this dataset, eV per atom: 0.0734

***

Computed, not measured: an optimized crystal structure of NdHo8Tm2 at the PBE level of DFT. Values from VASP.

```
&SYSTEM
  ibrav = 0, nat = 11, ntyp = 3
/
ATOMIC_SPECIES
Nd 144.24 Nd.upf
Ho 164.93 Ho.upf
Tm 168.93 Tm.upf
CELL_PARAMETERS angstrom
9.535 -3.439 0.000
9.535 3.439 0.000
-0.267 0.000 5.485
ATOMIC_POSITIONS angstrom
Nd 0.000 0.000 0.000
Ho 6.899 1.606 1.468
Ho 3.540 0.000 1.282
Ho 11.905 1.606 4.017
Ho 8.431 0.000 4.179
Ho 10.372 0.000 1.306
Ho 6.899 -1.606 1.468
Ho 15.263 0.000 4.203
Ho 11.905 -1.606 4.017
Tm 5.225 0.000 4.113
Tm 13.579 0.000 1.372
```

Calculated values
Formation enthalpy at 0 K, eV per formula unit: 1.6
Total magnetic moment, μB/f.u.: 0.0
E, eV/atom: -4.428
Space group: C2/m, No. 12
Energy above the most stable polymorph in this dataset, eV per atom: 0.0308

***

Computed, not measured: an optimized crystal structure of Nd6HoTm12 at the PBE level of DFT. Values from VASP.

```
&SYSTEM
  ibrav = 0, nat = 19, ntyp = 3
/
ATOMIC_SPECIES
Nd 144.24 Nd.upf
Ho 164.93 Ho.upf
Tm 168.93 Tm.upf
CELL_PARAMETERS angstrom
5.513 3.183 5.802
-5.513 3.183 5.802
0.000 -6.366 5.802
ATOMIC_POSITIONS angstrom
Nd 0.000 -2.532 6.951
Nd -2.193 1.266 6.951
Nd -2.193 -1.266 10.455
Nd 2.193 1.266 6.951
Nd 2.193 -1.266 10.455
Nd 0.000 2.532 10.455
Ho 0.000 0.000 8.703
Tm 0.000 -4.343 4.184
Tm -3.762 2.172 4.184
Tm -1.911 -1.103 4.301
Tm -3.762 -2.172 13.222
Tm 1.911 -1.103 4.301
Tm 0.000 2.207 4.301
Tm 0.000 -2.207 13.105
Tm -1.911 1.103 13.105
Tm 3.762 2.172 4.184
Tm 1.911 1.103 13.105
Tm 3.762 -2.172 13.222
Tm 0.000 4.343 13.222
```

Calculated values
Formation enthalpy at 0 K, eV per formula unit: 2.4
Total magnetic moment, μB/f.u.: 0.0
E, eV/atom: -4.444
Space group: R-3m, No. 166
Energy above the most stable polymorph in this dataset, eV per atom: 0.0000

***

Computed, not measured: an optimized crystal structure of NdHo12Tm2 at the PBE level of DFT. Values from VASP.

```
&SYSTEM
  ibrav = 0, nat = 15, ntyp = 3
/
ATOMIC_SPECIES
Nd 144.24 Nd.upf
Ho 164.93 Ho.upf
Tm 168.93 Tm.upf
CELL_PARAMETERS angstrom
3.543 0.000 0.000
0.000 5.535 0.000
-1.754 0.000 24.124
ATOMIC_POSITIONS angstrom
Nd 0.000 0.000 0.000
Ho 0.001 0.000 3.358
Ho -0.005 2.768 4.890
Ho 0.008 2.768 7.971
Ho 0.015 0.000 10.242
Ho 0.003 2.768 13.392
Ho 0.019 2.768 22.302
Ho 1.770 2.768 1.822
Ho 1.786 2.768 10.732
Ho 1.774 0.000 13.882
Ho 1.781 2.768 16.154
Ho 1.795 2.768 19.234
Ho 1.788 0.000 20.767
Tm 0.017 0.000 17.565
Tm 1.772 0.000 6.559
```

Calculated values
Formation enthalpy at 0 K, eV per formula unit: 1.7
Total magnetic moment, μB/f.u.: 0.0
E, eV/atom: -4.462
Space group: P2/m, No. 10

***

Computed, not measured: an optimized crystal structure of Nd2Ho3Tm at the PBE level of DFT. Values from VASP.

```
&SYSTEM
  ibrav = 0, nat = 12, ntyp = 3
/
ATOMIC_SPECIES
Nd 144.24 Nd.upf
Ho 164.93 Ho.upf
Tm 168.93 Tm.upf
CELL_PARAMETERS angstrom
8.547 -2.798 0.000
8.547 2.798 0.000
-5.727 0.000 8.129
ATOMIC_POSITIONS angstrom
Nd -1.935 0.000 2.897
Nd 0.993 0.000 5.082
Nd 10.375 0.000 3.047
Nd 13.303 0.000 5.232
Ho 1.062 0.000 1.256
Ho -1.693 0.000 7.534
Ho 7.136 0.000 0.919
Ho 4.231 0.000 7.210
Ho 13.060 0.000 0.594
Ho 10.305 0.000 6.873
Tm 4.196 0.000 2.984
Tm 7.171 0.000 5.145
```

Calculated values
Formation enthalpy at 0 K, eV per formula unit: 0.6
Total magnetic moment, μB/f.u.: 0.0
E, eV/atom: -4.525
Space group: C2/m, No. 12
Energy above the most stable polymorph in this dataset, eV per atom: 0.0680

***

Computed, not measured: an optimized crystal structure of Nd3Ho2Tm2 at the PBE level of DFT. Values from VASP.

```
&SYSTEM
  ibrav = 0, nat = 7, ntyp = 3
/
ATOMIC_SPECIES
Nd 144.24 Nd.upf
Ho 164.93 Ho.upf
Tm 168.93 Tm.upf
CELL_PARAMETERS angstrom
8.769 -1.755 0.000
8.769 1.755 0.000
-4.081 0.000 7.482
ATOMIC_POSITIONS angstrom
Nd 0.000 0.000 0.000
Nd 2.534 0.000 2.224
Nd 10.922 0.000 5.258
Ho 5.230 0.000 4.410
Ho 8.226 0.000 3.071
Tm -0.845 0.000 6.150
Tm 14.301 0.000 1.332
```

Calculated values
Formation enthalpy at 0 K, eV per formula unit: 0.8
Total magnetic moment, μB/f.u.: 0.0
E, eV/atom: -4.513
Space group: C2/m, No. 12
Energy above the most stable polymorph in this dataset, eV per atom: 0.0966

***

Computed, not measured: an optimized crystal structure of NdHo4Tm at the PBE level of DFT. Values from VASP.

```
&SYSTEM
  ibrav = 0, nat = 6, ntyp = 3
/
ATOMIC_SPECIES
Nd 144.24 Nd.upf
Ho 164.93 Ho.upf
Tm 168.93 Tm.upf
CELL_PARAMETERS angstrom
5.733 -1.721 0.000
5.733 1.721 0.000
-5.659 0.000 9.961
ATOMIC_POSITIONS angstrom
Nd 0.000 0.000 0.000
Ho -0.184 0.000 3.463
Ho 3.076 0.000 1.578
Ho 2.731 0.000 8.382
Ho 5.990 0.000 6.498
Tm 2.903 0.000 4.980
```

Calculated values
Formation enthalpy at 0 K, eV per formula unit: 1.2
Total magnetic moment, μB/f.u.: 0.0
E, eV/atom: -4.392
Space group: C2/m, No. 12
Energy above the most stable polymorph in this dataset, eV per atom: 0.0000

***

Computed, not measured: an optimized crystal structure of Nd8Ho4Tm at the PBE level of DFT. Values from VASP.

```
&SYSTEM
  ibrav = 0, nat = 13, ntyp = 3
/
ATOMIC_SPECIES
Nd 144.24 Nd.upf
Ho 164.93 Ho.upf
Tm 168.93 Tm.upf
CELL_PARAMETERS angstrom
3.630 2.096 9.713
-3.630 2.096 9.713
0.000 -4.192 9.713
ATOMIC_POSITIONS angstrom
Nd -1.968 -1.136 16.612
Nd 0.000 0.000 6.175
Nd 0.000 -2.272 12.525
Nd -1.968 1.136 12.525
Nd 1.968 -1.136 16.612
Nd 0.000 2.272 16.612
Nd 0.000 0.000 22.963
Nd 1.968 1.136 12.525
Ho 0.000 0.000 0.000
Ho -1.815 -1.048 9.713
Ho -1.815 1.048 19.425
Ho 0.000 2.096 9.713
Tm 0.000 0.000 14.569
```

Calculated values
Formation enthalpy at 0 K, eV per formula unit: 2.5
Total magnetic moment, μB/f.u.: 0.0
E, eV/atom: -4.492
Space group: R-3m, No. 166